1.
# Y8ErSc2

A relaxed structure of Y8ErSc2 (PBE-GGA, Alexandria via LeMat-Bulk).

Lattice parameters (Å, degrees): 8.8832 15.7758 5.7680 90.00 121.85 90.00
With the nearest neighbours (Å) after each atom.
Space group C2/m (No. 12)
Unique sites:
Y  0.0000  0.2088  0.0000  2 Sc 3.28, 1 Er 3.29, 6 Y 3.52-3.65
Y  0.0771  0.5000  0.7932  1 Y 2.90
Y  0.2152  0.1187  0.6648  5 Y 3.25-3.56, 2 Sc 3.34-3.41
Er  0.0000  0.0000  0.0000  4 Y 3.29
Sc  0.0000  0.3085  0.5000  8 Y 3.28-3.41

## Properties
DFT formation energy: 0.176 eV/atom
Polymorph energy (0 for the lowest one): 0 meV per atom
V: 687 Å³ per cell
Spin magnetization: 0.000 μB/cell

=====

2.
# AcHoTm

A relaxed structure of AcHoTm (PBE-GGA, Alexandria via LeMat-Bulk).

Lattice parameters (Å, degrees): 5.8218 5.8218 3.5569 90.00 90.00 120.00
With the nearest neighbours (Å) after each atom.
Space group P-6m2 (No. 187)
Unique sites:
Ac  0.0000  0.0000  0.0000  3 Tm 3.36, 2 Ac 3.56
Ho  0.6667  0.3333  0.5000  2 Ho 3.56, 6 Ac 3.80, 6 Tm 3.80
Tm  0.3333  0.6667  0.0000  3 Ac 3.36, 2 Tm 3.56

## Properties
DFT formation energy: 0.156 eV/atom
Polymorph energy (0 for the lowest one): 100 meV per atom
V: 104 Å³ per cell
Spin magnetization: 0.000 μB/cell

=====

3.
# KErPb2

A relaxed structure of KErPb2 (PBE-GGA, Alexandria via LeMat-Bulk).

Lattice parameters (Å, degrees): 4.0829 4.0829 8.0708 90.00 90.00 90.00
With the nearest neighbours (Å) after each atom.
Space group P4/mmm (No. 123)
Unique sites:
K  0.0000  0.0000  0.0000  8 Pb 3.78, 2 Er 4.04, 4 K 4.08
Er  0.0000  0.0000  0.5000  8 Pb 3.30
Pb  0.5000  0.5000  0.3031  1 Pb 3.18, 4 Er 3.30

## Properties
DFT formation energy: -0.295 eV/atom
Polymorph energy (0 for the lowest one): 0 meV per atom
V: 135 Å³ per cell
Spin magnetization: 0.000 μB/cell

=====

4.
# MnTl3V

A relaxed structure of MnTl3V (PBE-GGA, Alexandria via LeMat-Bulk).

Lattice parameters (Å, degrees): 5.2638 5.2638 5.2638 90.00 90.00 90.00
With the nearest neighbours (Å) after each atom.
Space group Pm-3m (No. 221)
Unique sites:
Mn  0.0000  0.0000  0.0000  12 Tl 3.72
Tl  0.0000  0.5000  0.5000  2 V 2.63
V  0.5000  0.5000  0.5000  6 Tl 2.63

## Properties
DFT formation energy: 0.934 eV/atom
Polymorph energy (0 for the lowest one): 28 meV per atom
V: 146 Å³ per cell
Spin magnetization: 5.576 μB/cell

=====

5.
# CaPaRhN3

A relaxed structure of CaPaRhN3 (PBE-GGA, Alexandria via LeMat-Bulk).

Lattice parameters (Å, degrees): 6.8926 3.4926 9.4072 90.00 108.91 90.00
With the nearest neighbours (Å) after each atom.
Space group P2_1/m (No. 11)
Unique sites:
Ca  0.1891  0.2500  0.1462  5 N 2.40-2.62
Pa  0.3058  0.7500  0.8508  6 N 2.31-2.36
Rh  0.0142  0.7500  0.3702  4 N 2.01-2.20
N  0.0980  0.2500  0.8769  1 Rh 2.20, 2 Pa 2.32, 1 Ca 2.40
N  0.1123  0.7500  0.5995  3 Rh 2.01-2.04
N  0.4526  0.7500  0.1110  3 Pa 2.33-2.36

## Properties
Uncorrected formation energy: -874 meV per atom
V: 214 Å³ per cell
Spin magnetization: 0.000 μB/cell

=====

6.
# UNb2Si

A relaxed structure of UNb2Si (PBE-GGA, Alexandria via LeMat-Bulk).

Lattice parameters (Å, degrees): 2.8664 2.8664 32.5879 90.00 90.00 120.00
With the nearest neighbours (Å) after each atom.
Space group R-3m (No. 166, hexagonal axes)
Unique sites:
U  0.0000  0.0000  0.0000  6 U 2.87
Nb  0.0000  0.0000  0.4212  1 Si 2.57, 6 Nb 2.87
Si  0.0000  0.0000  0.5000  2 Nb 2.57, 6 Si 2.87

## Properties
Uncorrected formation energy: 481 meV per atom
V: 232 Å³ per cell
Spin magnetization: 1.617 μB/cell

=====

Repeat the fifth record exactly.
# CaPaRhN3

A relaxed structure of CaPaRhN3 (PBE-GGA, Alexandria via LeMat-Bulk).

Lattice parameters (Å, degrees): 6.8926 3.4926 9.4072 90.00 108.91 90.00
With the nearest neighbours (Å) after each atom.
Space group P2_1/m (No. 11)
Unique sites:
Ca  0.1891  0.2500  0.1462  5 N 2.40-2.62
Pa  0.3058  0.7500  0.8508  6 N 2.31-2.36
Rh  0.0142  0.7500  0.3702  4 N 2.01-2.20
N  0.0980  0.2500  0.8769  1 Rh 2.20, 2 Pa 2.32, 1 Ca 2.40
N  0.1123  0.7500  0.5995  3 Rh 2.01-2.04
N  0.4526  0.7500  0.1110  3 Pa 2.33-2.36

## Properties
Uncorrected formation energy: -874 meV per atom
V: 214 Å³ per cell
Spin magnetization: 0.000 μB/cell

=====

- Which formula does entry 6 have?
  UNb2Si

=====

- spin magnetization of number 2 (AcHoTm)?
  0.000 μB/cell